The following is a PBE calculation of an optimized crystal structure of RbTcGe3, from the Alexandria database.

a b c (Å): 4.937 4.937 4.937
angles (deg): 90.00 90.00 90.00
Atoms (fractional coordinates):
1 Rb 0.000 0.000 0.000
2 Tc 0.500 0.500 0.500
3 Ge 0.000 0.500 0.500
4 Ge 0.500 0.000 0.500
5 Ge 0.500 0.500 0.000

Properties
The calculation puts the density of states at the Fermi level at 0.999 states/eV/atom. As for the space group: Pm-3m, No. 221.

The following is a PBE calculation of an optimized crystal structure of RbTcGe2, from the Alexandria database.

a b c (Å): 4.908 4.908 4.908
angles (deg): 60.00 60.00 60.00
Atoms (fractional coordinates):
1 Rb 0.000 0.000 0.000
2 Tc 0.500 0.500 0.500
3 Ge 0.250 0.250 0.250
4 Ge 0.750 0.750 0.750

Properties
The calculation puts the density of states at the Fermi level at 0.675 states/eV/atom. As for the space group: Fm-3m, No. 225.

The following is a PBE calculation of an optimized crystal structure of RbTcGe2, from the Alexandria database.

a b c (Å): 8.256 8.256 8.256
angles (deg): 135.08 135.08 65.40
Atoms (fractional coordinates):
1 Rb 0.375 0.625 0.750
2 Rb 0.625 0.375 0.250
3 Tc 0.125 0.875 0.250
4 Tc 0.875 0.125 0.750
5 Ge 0.000 0.000 0.000
6 Ge 0.000 0.000 0.500
7 Ge 0.000 0.500 0.000
8 Ge 0.500 0.000 0.500

Properties
The calculation puts the density of states at the Fermi level at 0.132 states/eV/atom. As for the space group: I4_1/amd, No. 141.

The following is a PBE calculation of an optimized crystal structure of RbTc3Ge, from the Alexandria database.

a b c (Å): 4.819 4.819 4.819
angles (deg): 90.00 90.00 90.00
Atoms (fractional coordinates):
1 Rb 0.000 0.000 0.000
2 Tc 0.000 0.500 0.500
3 Tc 0.500 0.000 0.500
4 Tc 0.500 0.500 0.000
5 Ge 0.500 0.500 0.500

Properties
The calculation puts the density of states at the Fermi level at 0.676 states/eV/atom. As for the space group: Pm-3m, No. 221.

Formation energy in eV/atom, matching the order above: 0.142 0.907 0.129 1.585
Magnetization in μB/f.u., matching the order above: 0.00 1.68 0.00 5.22
ΔE to the lowest computed polymorph in eV/atom, matching the order above: 0.0000 0.7787 0.0000 0.0000